(1)
Crystalline MnAgMo2Pd at its relaxed geometry. Source: the Alexandria database, functional PBE.

final energy = -5.5522 eV/atom
total magnetization = 1.56 μB/cell
V = 21.6 Å³ per atom
ΔH_f (0 K) = 2.22 eV/atom
DOS at the Fermi energy = 1.575 states/eV per atom

a b c (Å): 4.7039 4.7039 4.8748
angles (deg): 90.00 90.00 90.00
With the nearest neighbours (Å) after each atom.
Space group P4/mmm (No. 123)
Symmetry-distinct sites (fractional):
Mn 0.0000 0.0000 0.0000 x1  4 Ag 3.33, 8 Mo 3.39
Ag 0.5000 0.5000 0.0000 x1  2 Pd 2.44
Mo 0.0000 0.5000 0.5000 x2  2 Pd 2.35
Pd 0.5000 0.5000 0.5000 x1  4 Mo 2.35, 2 Ag 2.44


(2)
Crystalline KPa2S4 at its relaxed geometry. Source: the Alexandria database, functional PBE.

relative energy among the computed polymorphs = 0 meV/atom
final energy = -6.7764 eV/atom
total magnetization = 3.03 μB/cell
V = 30.4 Å³ per atom
DOS at the Fermi energy = 1.308 states/eV per atom
formation energy without anion corrections = -1548 meV/atom

a b c (Å): 6.8655 4.0238 8.0635
angles (deg): 90.00 106.94 90.00
With the nearest neighbours (Å) after each atom.
Space group P2/m (No. 10)
Symmetry-distinct sites (fractional):
K 0.0000 0.0000 0.0000 x1  6 S 3.27-3.30
Pa 0.0000 0.5000 0.5000 x1  6 S 2.74-2.76
Pa 0.5000 0.0000 0.5000 x1  6 S 2.75-2.78
S 0.2295 0.0000 0.6934 x2  3 Pa 2.74-2.75
S 0.2658 0.5000 0.3008 x2  3 Pa 2.76-2.78


(3)
Crystalline LaBeSb at its relaxed geometry. Source: the Alexandria database, functional PBE.

relative energy among the computed polymorphs = 0 meV/atom
final energy = -4.9080 eV/atom
total magnetization = 0.00 μB/cell
V = 23.4 Å³ per atom
DOS at the Fermi energy = 0.224 states/eV per atom
formation energy without anion corrections = -649 meV/atom

a b c (Å): 4.2104 4.2104 4.5631
angles (deg): 90.00 90.00 120.00
With the nearest neighbours (Å) after each atom.
Space group P3m1 (No. 156)
Symmetry-distinct sites (fractional):
La 0.0000 0.0000 0.0000 x1  6 Be 3.27-3.40, 6 Sb 3.33-3.34
Be 0.6667 0.3333 0.5204 x1  3 Sb 2.43
Sb 0.3333 0.6667 0.4974 x1  3 Be 2.43


(4)
Crystalline HoScSi2Ru at its relaxed geometry. Source: the Alexandria database, functional PBE.

final energy = -7.0049 eV/atom
total magnetization = 0.00 μB/cell
V = 18.1 Å³ per atom
DOS at the Fermi energy = 0.399 states/eV per atom
formation energy without anion corrections = -799 meV/atom

a b c (Å): 3.9917 3.9917 11.3342
angles (deg): 90.00 90.00 90.00
With the nearest neighbours (Å) after each atom.
Space group I-4m2 (No. 119)
Symmetry-distinct sites (fractional):
Ho 0.0000 0.0000 0.0000 x2  8 Si 3.06
Sc 0.0000 0.5000 0.2500 x2  4 Si 2.60, 4 Ru 2.82
Si 0.0000 0.0000 0.3968 x4  1 Si 2.34, 2 Ru 2.60, 2 Sc 2.60
Ru 0.0000 0.5000 0.7500 x2  4 Si 2.60, 4 Sc 2.82


What is the formula in the first record?
MnAgMo2Pd


What is the formula in the first record?
MnAgMo2Pd


Look up the total magnetization of the first one.
1.56 μB/cell